1.
Al2GaPbSe6 | PBE-GGA | optimized geometry

Computed properties:
The density of states at the Fermi level is 4.1 states/eV/f.u. For the calculated density, the calculation gives 5.0 g/cm³. The calculation puts the raw total energy at -0.30105 Ry per atom. The calculation puts the total magnetic moment at 0.0 μB per formula unit.

Lattice parameters (Å, degrees): 11.945 13.098 7.415 90.00 112.27 90.00
Space group C2/c (No. 15)
One atom of each set of equivalent atoms:
Al  0.118  0.078  0.155 [8 per cell]
Ga  0.000  0.324  0.750 [4 per cell]
Pb  0.000  0.389  0.250 [4 per cell]
Se  0.115  0.084  0.488 [8 per cell]
Se  0.141  0.437  0.674 [8 per cell]
Se  0.142  0.254  0.063 [8 per cell]

---

2.
Pm8Ir3SeI3 | PBE-GGA | optimized geometry

Computed properties:
The density of states at the Fermi level is 9.2 states/eV/f.u. For the calculated density, the calculation gives 7.6 g/cm³. The calculation puts the raw total energy at -0.42531 Ry per atom. The calculation puts the total magnetic moment at 0.0 μB per formula unit.

Lattice parameters (Å, degrees): 8.5136 8.5136 23.0800 90.00 90.00 120.00
Space group R-3m (No. 166, hexagonal axes)
One atom of each set of equivalent atoms:
Pm  0.0000  0.0000  0.2293 [6 per cell]
Pm  0.0238  0.5119  0.7679 [18 per cell]
Ir  0.0000  0.5000  0.5000 [9 per cell]
Se  0.0000  0.0000  0.5000 [3 per cell]
I  0.0000  0.5000  0.0000 [9 per cell]

---

3.
PrTmPtRh | PBE-GGA | optimized geometry

Computed properties:
The value obtained for the energy of formation is -927 meV per atom. The density of states at the Fermi level is 2.0 states/eV/f.u. For the calculated density, the calculation gives 11.6 g/cm³. The calculation puts the raw total energy at -0.48419 Ry per atom. The calculation puts the total magnetic moment at 0.0 μB per formula unit.

Lattice parameters (Å, degrees): 7.028 7.028 7.028 90.00 90.00 90.00
Space group F-43m (No. 216)
One atom of each set of equivalent atoms:
Pr  0.000  0.000  0.000 [4 per cell]
Tm  0.000  0.000  0.500 [4 per cell]
Pt  0.250  0.250  0.250 [4 per cell]
Rh  0.250  0.250  0.750 [4 per cell]

---

4.
SrY2P | PBE-GGA | optimized geometry

Computed properties:
The value obtained for the energy of formation is -145 meV per atom. The density of states at the Fermi level is 2.9 states/eV/f.u. For the calculated density, the calculation gives 4.3 g/cm³. The calculation puts the raw total energy at -0.37849 Ry per atom. The calculation puts the total magnetic moment at 0.0 μB per formula unit.

Lattice parameters (Å, degrees): 4.569 4.569 10.908 90.00 90.00 90.00
Space group I4/mmm (No. 139)
One atom of each set of equivalent atoms:
Sr  0.000  0.000  0.000 [2 per cell]
Y  0.000  0.500  0.250 [4 per cell]
P  0.000  0.000  0.500 [2 per cell]